*P*
VASP calculation (GGA-PBE) on a relaxed structure of ScTaMn.

Lattice parameters (Å, degrees): 3.1504 3.1504 10.2492 90.00 90.00 90.00
With the nearest neighbours (Å) after each atom.
Fractional positions:
Sc 0.0000 0.0000 0.0000  4 Mn 2.84, 5 Ta 3.02-3.07, 4 Sc 3.15
Sc 0.5000 0.5000 0.5000  4 Mn 2.84, 5 Ta 3.02-3.07, 4 Sc 3.15
Ta 0.0000 0.0000 0.7055  4 Mn 2.56
Ta 0.5000 0.5000 0.2055  4 Mn 2.56
Mn 0.0000 0.0000 0.3286  4 Ta 2.56, 4 Sc 2.84
Mn 0.5000 0.5000 0.8286  4 Ta 2.56, 4 Sc 2.84

Values from the calculation:
- M_tot (μB/atom) = 0.000
- symmetry = I4mm, No. 107
- DOS(E_F) (states/eV per cell) = 6.84
- V (Å³/atom) = 16.954



*Q*
VASP calculation (GGA-PBE) on a relaxed structure of ScTaMn.

Lattice parameters (Å, degrees): 3.0830 3.0830 6.3907 90.00 90.00 120.00
With the nearest neighbours (Å) after each atom.
Fractional positions:
Sc 0.0000 0.0000 0.0000  3 Mn 2.72
Ta 0.3333 0.6667 0.4092  3 Mn 2.47
Mn 0.6667 0.3333 0.6781  3 Ta 2.47, 3 Sc 2.72

Values from the calculation:
- M_tot (μB/atom) = 0.120
- symmetry = P3m1, No. 156
- DOS(E_F) (states/eV per cell) = 3.08
- V (Å³/atom) = 17.536



Stability verdict: *P*, ahead by 24.8 kJ/mol of atoms



*P*
VASP calculation (GGA-PBE) on a relaxed structure of ScMn2Tc.

Lattice parameters (Å, degrees): 3.8900 3.8900 3.9981 90.00 90.00 90.00
With the nearest neighbours (Å) after each atom.
Fractional positions:
Sc 0.0000 0.0000 0.0000  4 Tc 2.75, 8 Mn 2.79
Mn 0.0000 0.5000 0.5000  4 Mn 2.75, 4 Tc 2.79, 4 Sc 2.79
Mn 0.5000 0.0000 0.5000  4 Mn 2.75, 4 Tc 2.79, 4 Sc 2.79
Tc 0.5000 0.5000 0.0000  4 Sc 2.75, 8 Mn 2.79

Values from the calculation:
- M_tot (μB/atom) = 1.379
- symmetry = P4/mmm, No. 123
- DOS(E_F) (states/eV per cell) = 6.46
- V (Å³/atom) = 15.125



*Q*
VASP calculation (GGA-PBE) on a relaxed structure of ScMn2Tc.

Lattice parameters (Å, degrees): 5.2716 8.2803 2.7067 90.00 109.54 90.00
With the nearest neighbours (Å) after each atom.
Fractional positions:
Sc 0.0000 0.0000 0.0000  4 Mn 2.58, 2 Tc 2.64, 2 Sc 2.71
Sc 0.5000 0.5000 0.0000  4 Mn 2.58, 2 Tc 2.64, 2 Sc 2.71
Mn 0.2500 0.2500 0.5000  2 Tc 2.58, 2 Sc 2.58, 4 Mn 2.64-2.71
Mn 0.2500 0.7500 0.5000  2 Tc 2.58, 2 Sc 2.58, 4 Mn 2.64-2.71
Mn 0.7500 0.2500 0.5000  2 Tc 2.58, 2 Sc 2.58, 4 Mn 2.64-2.71
Mn 0.7500 0.7500 0.5000  2 Tc 2.58, 2 Sc 2.58, 4 Mn 2.64-2.71
Tc 0.0000 0.5000 0.0000  4 Mn 2.58, 2 Sc 2.64, 2 Tc 2.71
Tc 0.5000 0.0000 0.0000  4 Mn 2.58, 2 Sc 2.64, 2 Tc 2.71

Values from the calculation:
- M_tot (μB/atom) = 0.450
- symmetry = C2/m, No. 12
- DOS(E_F) (states/eV per cell) = 10.76
- V (Å³/atom) = 13.918



*R*
VASP calculation (GGA-PBE) on a relaxed structure of ScMn2Tc.

Lattice parameters (Å, degrees): 3.0685 4.3555 8.5211 90.00 90.00 90.00
With the nearest neighbours (Å) after each atom.
Fractional positions:
Sc 0.0000 0.0000 0.0000  4 Tc 2.66, 8 Mn 2.74-2.95
Sc 0.5000 0.5000 0.5000  4 Tc 2.66, 8 Mn 2.74-2.95
Mn 0.0000 0.5000 0.2336  2 Tc 2.51, 4 Mn 2.68, 2 Sc 2.74
Mn 0.0000 0.5000 0.7664  2 Tc 2.51, 4 Mn 2.68, 2 Sc 2.74
Mn 0.5000 0.0000 0.2664  2 Tc 2.51, 4 Mn 2.68, 2 Sc 2.74
Mn 0.5000 0.0000 0.7336  2 Tc 2.51, 4 Mn 2.68, 2 Sc 2.74
Tc 0.0000 0.0000 0.5000  4 Mn 2.51, 4 Sc 2.66
Tc 0.5000 0.5000 0.0000  4 Mn 2.51, 4 Sc 2.66

Values from the calculation:
- M_tot (μB/atom) = 0.569
- symmetry = Immm, No. 71
- DOS(E_F) (states/eV per cell) = 11.03
- V (Å³/atom) = 14.236



Stability verdict: *R*, ahead by 5.5 kJ/mol of atoms



*P*
VASP calculation (GGA-PBE) on a relaxed structure of ScMn2Tc.

Lattice parameters (Å, degrees): 2.7777 4.1108 5.3537 90.00 104.43 90.00
With the nearest neighbours (Å) after each atom.
Fractional positions:
Sc 0.0000 0.0000 0.0000  2 Tc 2.69, 8 Mn 2.77-2.99, 2 Sc 2.78
Mn 0.2854 0.5000 0.7213  3 Mn 2.50-2.78, 2 Tc 2.52, 2 Sc 2.77
Mn 0.7146 0.5000 0.2787  3 Mn 2.50-2.78, 2 Tc 2.52, 2 Sc 2.77
Tc 0.5000 0.0000 0.5000  4 Mn 2.52, 2 Sc 2.69, 2 Tc 2.78

Values from the calculation:
- M_tot (μB/atom) = 0.967
- symmetry = P2/m, No. 10
- DOS(E_F) (states/eV per cell) = 5.55
- V (Å³/atom) = 14.801



*Q*
VASP calculation (GGA-PBE) on a relaxed structure of ScMn2Tc.

Lattice parameters (Å, degrees): 6.9594 6.9594 5.3586 90.00 90.00 90.00
With the nearest neighbours (Å) after each atom.
Fractional positions:
Sc 0.0000 0.0000 0.0000  2 Tc 2.68, 4 Mn 2.75
Sc 0.0000 0.5000 0.2500  2 Tc 2.68, 4 Mn 2.75
Sc 0.5000 0.0000 0.7500  2 Tc 2.68, 4 Mn 2.75
Sc 0.5000 0.5000 0.5000  2 Tc 2.68, 4 Mn 2.75
Mn 0.2097 0.2500 0.6250  2 Tc 2.37
Mn 0.2500 0.7097 0.8750  2 Tc 2.37
Mn 0.2500 0.7903 0.3750  2 Tc 2.37
Mn 0.2903 0.2500 0.1250  2 Tc 2.37
Mn 0.7097 0.7500 0.1250  2 Tc 2.37
Mn 0.7500 0.2097 0.3750  2 Tc 2.37
Mn 0.7500 0.2903 0.8750  2 Tc 2.37
Mn 0.7903 0.7500 0.6250  2 Tc 2.37
Tc 0.0000 0.0000 0.5000  4 Mn 2.37
Tc 0.0000 0.5000 0.7500  4 Mn 2.37
Tc 0.5000 0.0000 0.2500  4 Mn 2.37
Tc 0.5000 0.5000 0.0000  4 Mn 2.37

Values from the calculation:
- M_tot (μB/atom) = 1.046
- symmetry = I-42d, No. 122
- DOS(E_F) (states/eV per cell) = 20.28
- V (Å³/atom) = 16.221



Stability verdict: *P*, ahead by 28.6 kJ/mol of atoms



*P*
VASP calculation (GGA-PBE) on a relaxed structure of ScMn2Tc.

Lattice parameters (Å, degrees): 6.0226 6.0226 6.0226 90.00 90.00 90.00
With the nearest neighbours (Å) after each atom.
Fractional positions:
Sc 0.0000 0.0000 0.0000  8 Mn 2.61
Sc 0.0000 0.5000 0.5000  8 Mn 2.61
Sc 0.5000 0.0000 0.5000  8 Mn 2.61
Sc 0.5000 0.5000 0.0000  8 Mn 2.61
Mn 0.2500 0.2500 0.2500  4 Tc 2.61, 4 Sc 2.61
Mn 0.2500 0.2500 0.7500  4 Tc 2.61, 4 Sc 2.61
Mn 0.2500 0.7500 0.2500  4 Tc 2.61, 4 Sc 2.61
Mn 0.2500 0.7500 0.7500  4 Tc 2.61, 4 Sc 2.61
Mn 0.7500 0.2500 0.2500  4 Tc 2.61, 4 Sc 2.61
Mn 0.7500 0.2500 0.7500  4 Tc 2.61, 4 Sc 2.61
Mn 0.7500 0.7500 0.2500  4 Tc 2.61, 4 Sc 2.61
Mn 0.7500 0.7500 0.7500  4 Tc 2.61, 4 Sc 2.61
Tc 0.0000 0.0000 0.5000  8 Mn 2.61
Tc 0.0000 0.5000 0.0000  8 Mn 2.61
Tc 0.5000 0.0000 0.0000  8 Mn 2.61
Tc 0.5000 0.5000 0.5000  8 Mn 2.61

Values from the calculation:
- M_tot (μB/atom) = 0.000
- symmetry = Fm-3m, No. 225
- DOS(E_F) (states/eV per cell) = 6.00
- V (Å³/atom) = 13.653



*Q*
VASP calculation (GGA-PBE) on a relaxed structure of ScMn2Tc.

Lattice parameters (Å, degrees): 3.0389 4.3860 8.6951 90.00 90.00 90.00
With the nearest neighbours (Å) after each atom.
Fractional positions:
Sc 0.0000 0.0000 0.0000  8 Mn 2.67-2.94, 4 Tc 2.79-2.97
Sc 0.5000 0.5000 0.5000  8 Mn 2.67-2.94, 4 Tc 2.79-2.97
Mn 0.0000 0.0000 0.4942  2 Tc 2.48, 2 Mn 2.52, 4 Sc 2.67
Mn 0.0000 0.5000 0.2257  2 Mn 2.52, 4 Tc 2.69
Mn 0.5000 0.0000 0.7257  2 Mn 2.52, 4 Tc 2.69
Mn 0.5000 0.5000 0.9942  2 Tc 2.48, 2 Mn 2.52, 4 Sc 2.67
Tc 0.0000 0.5000 0.7694  6 Mn 2.48-2.69
Tc 0.5000 0.0000 0.2694  6 Mn 2.48-2.69

Values from the calculation:
- M_tot (μB/atom) = 0.504
- symmetry = Imm2, No. 44
- DOS(E_F) (states/eV per cell) = 8.17
- V (Å³/atom) = 14.487



Stability verdict: *P*, ahead by 3.2 kJ/mol of atoms



*P*
VASP calculation (GGA-PBE) on a relaxed structure of ScMn2Tc.

Lattice parameters (Å, degrees): 2.7395 4.2610 5.0641 90.00 99.76 90.00
With the nearest neighbours (Å) after each atom.
Fractional positions:
Sc 0.0000 0.0000 0.0000  4 Mn 2.65-2.70, 2 Tc 2.70, 2 Sc 2.74
Mn 0.3132 0.5000 0.7479  4 Mn 2.58-2.74, 3 Tc 2.65-2.85, 2 Sc 2.70
Mn 0.5184 0.0000 0.5007  2 Tc 2.55, 4 Mn 2.58-2.74, 2 Sc 2.65-2.69
Tc 0.7395 0.5000 0.2719  5 Mn 2.55-2.85, 2 Sc 2.70, 2 Tc 2.74

Values from the calculation:
- M_tot (μB/atom) = 0.151
- symmetry = Pm, No. 6
- DOS(E_F) (states/eV per cell) = 3.68
- V (Å³/atom) = 14.565



*Q*
VASP calculation (GGA-PBE) on a relaxed structure of ScMn2Tc.

Lattice parameters (Å, degrees): 2.8427 2.8427 25.9411 90.00 90.00 120.00
With the nearest neighbours (Å) after each atom.
Fractional positions:
Sc 0.0000 0.0000 0.0000  6 Mn 2.84, 6 Sc 2.84
Sc 0.3333 0.6667 0.6667  6 Mn 2.84, 6 Sc 2.84
Sc 0.6667 0.3333 0.3333  6 Mn 2.84, 6 Sc 2.84
Mn 0.0000 0.0000 0.2440  3 Tc 2.59, 3 Sc 2.84, 6 Mn 2.84
Mn 0.0000 0.0000 0.7560  3 Tc 2.59, 3 Sc 2.84, 6 Mn 2.84
Mn 0.3333 0.6667 0.4226  3 Tc 2.59, 3 Sc 2.84, 6 Mn 2.84
Mn 0.3333 0.6667 0.9107  3 Tc 2.59, 3 Sc 2.84, 6 Mn 2.84
Mn 0.6667 0.3333 0.0893  3 Tc 2.59, 3 Sc 2.84, 6 Mn 2.84
Mn 0.6667 0.3333 0.5774  3 Tc 2.59, 3 Sc 2.84, 6 Mn 2.84
Tc 0.0000 0.0000 0.5000  6 Mn 2.59, 6 Tc 2.84
Tc 0.3333 0.6667 0.1667  6 Mn 2.59, 6 Tc 2.84
Tc 0.6667 0.3333 0.8333  6 Mn 2.59, 6 Tc 2.84

Values from the calculation:
- M_tot (μB/atom) = 1.007
- symmetry = R-3m, No. 166
- DOS(E_F) (states/eV per cell) = 17.52
- V (Å³/atom) = 15.129



Stability verdict: *P*, ahead by 20.0 kJ/mol of atoms



*P*
VASP calculation (GGA-PBE) on a relaxed structure of Sc2Mn2Tc.

Lattice parameters (Å, degrees): 6.0510 6.0510 4.4326 90.00 90.00 90.00
With the nearest neighbours (Å) after each atom.
Fractional positions:
Sc 0.1798 0.3202 0.0000  6 Mn 2.79-2.90, 1 Sc 3.08
Sc 0.3202 0.8202 0.0000  6 Mn 2.79-2.90, 1 Sc 3.08
Sc 0.6798 0.1798 0.0000  6 Mn 2.79-2.90, 1 Sc 3.08
Sc 0.8202 0.6798 0.0000  6 Mn 2.79-2.90, 1 Sc 3.08
Mn 0.1231 0.6231 0.5000  1 Mn 2.11
Mn 0.3769 0.1231 0.5000  1 Mn 2.11
Mn 0.6231 0.8769 0.5000  1 Mn 2.11
Mn 0.8769 0.3769 0.5000  1 Mn 2.11
Tc 0.0000 0.0000 0.5000  4 Mn 2.40
Tc 0.5000 0.5000 0.5000  4 Mn 2.40

Values from the calculation:
- M_tot (μB/atom) = 0.000
- symmetry = P4/mbm, No. 127
- DOS(E_F) (states/eV per cell) = 11.00
- V (Å³/atom) = 16.230



*Q*
VASP calculation (GGA-PBE) on a relaxed structure of Sc2Mn2Tc.

Lattice parameters (Å, degrees): 3.8268 3.8268 11.4812 90.00 90.00 90.00
With the nearest neighbours (Å) after each atom.
Fractional positions:
Sc 0.0000 0.5000 0.2500  4 Mn 2.67, 4 Sc 2.71
Sc 0.0000 0.5000 0.7500  4 Mn 2.67, 4 Sc 2.71
Sc 0.5000 0.0000 0.2500  4 Mn 2.67, 4 Sc 2.71
Sc 0.5000 0.0000 0.7500  4 Mn 2.67, 4 Sc 2.71
Mn 0.0000 0.0000 0.0874  1 Mn 2.01
Mn 0.0000 0.0000 0.9126  1 Mn 2.01
Mn 0.5000 0.5000 0.4126  1 Mn 2.01
Mn 0.5000 0.5000 0.5874  1 Mn 2.01
Tc 0.0000 0.0000 0.5000  8 Mn 2.89
Tc 0.5000 0.5000 0.0000  8 Mn 2.89

Values from the calculation:
- M_tot (μB/atom) = 0.828
- symmetry = I4/mmm, No. 139
- DOS(E_F) (states/eV per cell) = 12.27
- V (Å³/atom) = 16.814



Stability verdict: *P*, ahead by 76.2 kJ/mol of atoms



*P*
VASP calculation (GGA-PBE) on a relaxed structure of ScMn3Tc.

Lattice parameters (Å, degrees): 4.1947 4.1947 4.1947 90.00 90.00 90.00
With the nearest neighbours (Å) after each atom.
Fractional positions:
Sc 0.0000 0.0000 0.0000  6 Mn 2.10
Mn 0.0000 0.0000 0.5000  2 Sc 2.10
Mn 0.0000 0.5000 0.0000  2 Sc 2.10
Mn 0.5000 0.0000 0.0000  2 Sc 2.10
Tc 0.5000 0.5000 0.5000  12 Mn 2.97

Values from the calculation:
- M_tot (μB/atom) = 0.001
- symmetry = Pm-3m, No. 221
- DOS(E_F) (states/eV per cell) = 8.47
- V (Å³/atom) = 14.762



*Q*
VASP calculation (GGA-PBE) on a relaxed structure of ScMn3Tc.

Lattice parameters (Å, degrees): 4.5616 4.5616 4.5616 90.00 90.00 90.00
With the nearest neighbours (Å) after each atom.
Fractional positions:
Sc 0.0000 0.0000 0.0000  12 Mn 3.23
Mn 0.0000 0.5000 0.5000  2 Tc 2.28
Mn 0.5000 0.0000 0.5000  2 Tc 2.28
Mn 0.5000 0.5000 0.0000  2 Tc 2.28
Tc 0.5000 0.5000 0.5000  6 Mn 2.28

Values from the calculation:
- M_tot (μB/atom) = 1.548
- symmetry = Pm-3m, No. 221
- DOS(E_F) (states/eV per cell) = 6.76
- V (Å³/atom) = 18.983



Stability verdict: *Q*, ahead by 102.0 kJ/mol of atoms



*P*
VASP calculation (GGA-PBE) on a relaxed structure of ScMn3Te.

Lattice parameters (Å, degrees): 4.7618 4.7618 4.7618 90.00 90.00 90.00
With the nearest neighbours (Å) after each atom.
Fractional positions:
Sc 0.0000 0.0000 0.0000  6 Mn 2.38
Mn 0.0000 0.0000 0.5000  2 Sc 2.38
Mn 0.0000 0.5000 0.0000  2 Sc 2.38
Mn 0.5000 0.0000 0.0000  2 Sc 2.38
Te 0.5000 0.5000 0.5000  12 Mn 3.37

Values from the calculation:
- M_tot (μB/atom) = 1.984
- symmetry = Pm-3m, No. 221
- DOS(E_F) (states/eV per cell) = 4.67
- V (Å³/atom) = 21.594



*Q*
VASP calculation (GGA-PBE) on a relaxed structure of ScMn3Te.

Lattice parameters (Å, degrees): 4.8245 4.8245 4.8245 90.00 90.00 90.00
With the nearest neighbours (Å) after each atom.
Fractional positions:
Sc 0.0000 0.0000 0.0000  12 Mn 3.41
Mn 0.0000 0.5000 0.5000  2 Te 2.41
Mn 0.5000 0.0000 0.5000  2 Te 2.41
Mn 0.5000 0.5000 0.0000  2 Te 2.41
Te 0.5000 0.5000 0.5000  6 Mn 2.41

Values from the calculation:
- M_tot (μB/atom) = 1.719
- symmetry = Pm-3m, No. 221
- DOS(E_F) (states/eV per cell) = 4.27
- V (Å³/atom) = 22.458



Stability verdict: *Q*, ahead by 38.9 kJ/mol of atoms